1.
A geometry-optimized AcPdRhO6 structure. Source: Alexandria via LeMat-Bulk, functional PBE.

Cell lengths 5.291, 5.291, 10.691 Å; angles 90.00, 90.00, 120.00 degrees
Atoms (fractional coordinates):
1 Ac 0.000 0.000 0.000
2 Ac 0.000 0.000 0.500
3 Pd 0.333 0.667 0.250
4 Pd 0.667 0.333 0.750
5 Rh 0.333 0.667 0.750
6 Rh 0.667 0.333 0.250
7 O 0.005 0.375 0.646
8 O 0.005 0.630 0.854
9 O 0.370 0.375 0.854
10 O 0.370 0.995 0.646
11 O 0.375 0.005 0.146
12 O 0.375 0.370 0.354
13 O 0.625 0.630 0.646
14 O 0.625 0.995 0.854
15 O 0.630 0.005 0.354
16 O 0.630 0.625 0.146
17 O 0.995 0.370 0.146
18 O 0.995 0.625 0.354

## Properties
total energy	-116.6	eV per cell
calculated density	6.820	Mg/m³
magnetic moment	4.0	μB/cell
formation energy from raw total energies	-1.3223	eV/atom
D(E_F)	4.68	states/eV/f.u.


2.
A geometry-optimized ZnAsP2 structure. Source: Alexandria via LeMat-Bulk, functional PBE.

Cell lengths 4.029, 4.029, 4.085 Å; angles 90.00, 90.00, 90.00 degrees
Atoms (fractional coordinates):
1 Zn 0.000 0.000 0.000
2 As 0.500 0.500 0.000
3 P 0.000 0.500 0.500
4 P 0.500 0.000 0.500

## Properties
total energy	-14.4	eV per cell
calculated density	5.066	Mg/m³
magnetic moment	0.0	μB/cell
energy of formation	2.33	eV/f.u.
relative energy among the computed polymorphs	0.540	eV per atom
D(E_F)	1.92	states/eV/f.u.


3.
A geometry-optimized Cs2RbMgCl5 structure. Source: Alexandria via LeMat-Bulk, functional PBE.

Cell lengths 9.289, 9.289, 9.289 Å; angles 148.36, 131.74, 58.86 degrees
Atoms (fractional coordinates):
1 Cs 0.210 0.210 0.000
2 Cs 0.790 0.790 0.000
3 Rb 0.500 0.000 0.500
4 Mg 0.000 0.500 0.500
5 Cl 0.000 0.000 0.000
6 Cl 0.128 0.388 0.739
7 Cl 0.351 0.612 0.739
8 Cl 0.649 0.388 0.261
9 Cl 0.872 0.612 0.261

## Properties
total energy	-30.8	eV per cell
calculated density	2.950	Mg/m³
magnetic moment	0.0	μB/cell
formation energy from raw total energies	-1.9248	eV/atom
D(E_F)	0.00	states/eV/f.u.


4.
A geometry-optimized Cr2TcP structure. Source: Alexandria via LeMat-Bulk, functional PBE.

Cell lengths 4.787, 4.787, 4.787 Å; angles 143.79, 130.86, 62.54 degrees
Atoms (fractional coordinates):
1 Cr 0.000 0.000 0.000
2 Cr 0.742 0.242 0.500
3 Tc 0.264 0.764 0.500
4 P 0.511 0.511 0.000

## Properties
total energy	-35.6	eV per cell
calculated density	7.986	Mg/m³
magnetic moment	0.0	μB/cell
energy of formation	-0.62	eV/f.u.
D(E_F)	3.65	states/eV/f.u.